(1)
PBE RbUS3Cl, relaxed; ΔE_f (raw) = -1130 meV per atom; space-group type = C2/c (15); total DFT energy (no corrections) = -5.54 eV per atom; magnetization = 0.00 μB/f.u.
1.0
3.6624 -12.7833 0.0000
3.6624 12.7833 0.0000
-3.0161 0.0000 4.8264
Rb U S Cl
2 2 6 2
Direct
0.1039 0.8961 0.7500
0.8961 0.1039 0.2500
0.2983 0.7017 0.2500
0.7017 0.2983 0.7500
0.1047 0.6760 0.9252
0.3240 0.8953 0.5748
0.3940 0.6060 0.2500
0.6060 0.3940 0.7500
0.6760 0.1047 0.4252
0.8953 0.3240 0.0748
0.3294 0.6706 0.7500
0.6706 0.3294 0.2500

=====

(2)
PBE Zr2SbCl, relaxed; ΔE_f (raw) = -339 meV per atom; space-group type = Pmmm (47); total DFT energy (no corrections) = -6.11 eV per atom; magnetization = 0.00 μB/f.u.
1.0
3.2186 0.0000 0.0000
0.0000 4.7086 0.0000
0.0000 0.0000 6.0875
Zr Sb Cl
2 1 1
Direct
0.0000 0.0000 0.0000
0.5000 0.0000 0.5000
0.0000 0.5000 0.5000
0.5000 0.5000 0.0000

=====

(3)
PBE Sc2SiP, relaxed; ΔE_f (raw) = -415 meV per atom; space-group type = R-3m (166); total DFT energy (no corrections) = -6.29 eV per atom; magnetization = 0.00 μB/f.u.
1.0
1.8290 1.0559 8.2371
-1.8290 1.0559 8.2371
0.0000 -2.1119 8.2371
Sc Si P
2 1 1
Direct
0.1084 0.1084 0.1084
0.8916 0.8916 0.8916
0.0000 0.0000 0.0000
0.5000 0.5000 0.5000

=====

(4)
PBE LaBeAl3, relaxed; space-group type = Pm-3m (221); total DFT energy (no corrections) = -3.96 eV per atom; magnetization = 0.00 μB/f.u.; formation enthalpy at 0 K = 0.015 eV/atom
1.0
4.6339 0.0000 0.0000
0.0000 4.6339 0.0000
0.0000 0.0000 4.6339
La Be Al
1 1 3
Direct
0.0000 0.0000 0.0000
0.5000 0.5000 0.5000
0.0000 0.5000 0.5000
0.5000 0.0000 0.5000
0.5000 0.5000 0.0000

=====

(5)
PBE K3MgMo, relaxed; space-group type = Pm-3m (221); total DFT energy (no corrections) = -1.90 eV per atom; magnetization = 5.65 μB/f.u.; formation enthalpy at 0 K = 1.245 eV/atom
1.0
6.8710 0.0000 0.0000
0.0000 6.8710 0.0000
0.0000 0.0000 6.8710
K Mg Mo
3 1 1
Direct
0.0000 0.0000 0.5000
0.0000 0.5000 0.0000
0.5000 0.0000 0.0000
0.5000 0.5000 0.5000
0.0000 0.0000 0.0000

=====

- The lowest total DFT energy (no corrections) belongs to which entry?
  Sc2SiP

=====

- Look up the total DFT energy (no corrections) of the first one.
  -5.54 eV per atom

=====

Repeat the fifth record exactly.
PBE K3MgMo, relaxed; space-group type = Pm-3m (221); total DFT energy (no corrections) = -1.90 eV per atom; magnetization = 5.65 μB/f.u.; formation enthalpy at 0 K = 1.245 eV/atom
1.0
6.8710 0.0000 0.0000
0.0000 6.8710 0.0000
0.0000 0.0000 6.8710
K Mg Mo
3 1 1
Direct
0.0000 0.0000 0.5000
0.0000 0.5000 0.0000
0.5000 0.0000 0.0000
0.5000 0.5000 0.5000
0.0000 0.0000 0.0000